A relaxed structure of Bi2ICl. Source: Alexandria, functional PBE.

The structure in extended XYZ format:
```
8
Lattice="-5.9327 -6.3421 -0.9841 6.3696 -5.9826 0.1558 -0.0906 -6.4026 2.9978" Properties=species:S:1:pos:R:3 pbc="T T T"
I 0.0000 0.0000 0.0000
I -2.9024 -9.4535 0.7998
Bi -2.8567 -6.2293 0.1668
Bi 0.2310 -15.5077 1.5216
Bi 3.1391 -6.2155 0.7110
Bi 0.1793 -9.5020 1.9398
Cl 0.2185 -6.1624 -0.4141
Cl 3.2488 -9.2737 1.3698
```

## Properties
Crystal system ... tetragonal
Energy above the lowest structure with this stoichiometry ... 0 meV per atom